Computed, not measured: crystalline LiNiP2O6 at its relaxed geometry at the GGA+U level of DFT.

Properties
DFT total energy ... -127.8 eV per cell
Magnetization ... 2.00 μB/cell

CIF file:
```
data_LiNiP2O6
_cell_length_a 4.905
_cell_length_b 7.121
_cell_length_c 7.121
_cell_angle_alpha 89.52
_cell_angle_beta 75.92
_cell_angle_gamma 75.92
_symmetry_space_group_name_H-M 'P 1'
_symmetry_Int_Tables_number 1
_symmetry_space_group_name_Hall 'P 1'
loop_
_atom_site_label
_atom_site_type_symbol
_atom_site_fract_x
_atom_site_fract_y
_atom_site_fract_z
Li1 Li 0.250 0.223 0.777
Li2 Li 0.750 0.777 0.223
Ni1 Ni 0.250 0.893 0.107
Ni2 Ni 0.750 0.107 0.893
P1 P 0.270 0.795 0.620
P2 P 0.230 0.380 0.205
P3 P 0.730 0.205 0.380
P4 P 0.770 0.620 0.795
O1 O 0.165 0.962 0.772
O2 O 0.335 0.228 0.038
O3 O 0.835 0.038 0.228
O4 O 0.665 0.772 0.962
O5 O 0.381 0.832 0.412
O6 O 0.119 0.588 0.168
O7 O 0.619 0.168 0.588
O8 O 0.881 0.412 0.832
O9 O 0.016 0.685 0.629
O10 O 0.484 0.371 0.315
O11 O 0.984 0.315 0.371
O12 O 0.516 0.629 0.685
```